Material: Ti3InO
Method: DFT, PBE
State: optimized geometry

Summary:
uncorrected energy = -36.41 eV per cell
mass density = 5.531 g/cm3

a = 2.990 Å, b = 5.443 Å, c = 5.443 Å
α = 111.53°, β = 90.00°, γ = 90.00°
Last column: magnetic moment on the atom in μB.
Element x y z (fractional)
In 0.000 0.655 0.345  0.00
Ti 0.500 0.628 0.824  0.36
Ti 0.500 0.176 0.372  0.27
Ti 0.000 0.158 0.842  0.09
O 0.500 0.011 0.989  0.01

---

Material: Ti3InO
Method: DFT, PBE
State: optimized geometry

Summary:
uncorrected energy = -72.05 eV per cell
mass density = 5.467 g/cm3

a = 7.773 Å, b = 7.773 Å, c = 7.773 Å
α = 38.92°, β = 38.92°, γ = 38.92°
Element x y z (fractional)
Ti 0.779 0.446 0.112
Ti 0.554 0.888 0.221
Ti 0.446 0.112 0.779
Ti 0.221 0.554 0.888
Ti 0.888 0.221 0.554
Ti 0.112 0.779 0.446
In 0.666 0.666 0.666
In 0.334 0.334 0.334
O 0.166 0.166 0.166
O 0.834 0.834 0.834